A geometry-optimized BeIn3Cl structure. Source: Alexandria via LeMat-Bulk, functional PBEsol.

Values from the calculation:
M_tot, μB per atom: 0.00
E_form (uncorrected), kcal/mol of atoms: 17.20

Cell: 5.487 5.487 5.487 Å, 90.00 90.00 90.00°
Space group Pm-3m (No. 221)
Inequivalent atoms, fractional coordinates:
1 Be 0.000 0.000 0.000 [1 per cell]
2 In 0.000 0.500 0.500 [3 per cell]
3 Cl 0.500 0.500 0.500 [1 per cell]

=====

A geometry-optimized BeInS2Cl structure. Source: Alexandria via LeMat-Bulk, functional PBEsol.

Values from the calculation:
M_tot, μB per atom: 0.00
E_form (uncorrected), kcal/mol of atoms: -5.34

Cell: 4.469 4.469 4.334 Å, 90.00 90.00 90.00°
Space group P4/mmm (No. 123)
Inequivalent atoms, fractional coordinates:
1 Be 0.000 0.000 0.000 [1 per cell]
2 In 0.500 0.500 0.500 [1 per cell]
3 S 0.000 0.500 0.000 [2 per cell]
4 Cl 0.000 0.000 0.500 [1 per cell]

=====

A geometry-optimized BeIr2Cl structure. Source: Alexandria via LeMat-Bulk, functional PBEsol.

Values from the calculation:
Distance to the lowest polymorph of the same formula, meV/atom: 119
M_tot, μB per atom: 0.00
E_form (uncorrected), kcal/mol of atoms: 9.86

Cell: 10.024 2.763 3.984 Å, 90.00 90.04 90.00°
Space group Cm (No. 8)
Inequivalent atoms, fractional coordinates:
1 Be 0.000 0.000 0.000 [2 per cell]
2 Ir 0.228 0.500 0.503 [2 per cell]
3 Ir 0.457 0.000 0.501 [2 per cell]
4 Cl 0.207 0.000 0.003 [2 per cell]

=====

A geometry-optimized BeIr2Cl structure. Source: Alexandria via LeMat-Bulk, functional PBEsol.

Values from the calculation:
Distance to the lowest polymorph of the same formula, meV/atom: 0
M_tot, μB per atom: 0.00
E_form (uncorrected), kcal/mol of atoms: 7.12

Cell: 2.752 3.999 9.954 Å, 90.00 90.00 90.00°
Space group Immm (No. 71)
Inequivalent atoms, fractional coordinates:
1 Be 0.000 0.000 0.000 [2 per cell]
2 Ir 0.000 0.500 0.303 [4 per cell]
3 Cl 0.000 0.000 0.500 [2 per cell]

=====

A geometry-optimized BeIrCl structure. Source: Alexandria via LeMat-Bulk, functional PBEsol.

Values from the calculation:
Distance to the lowest polymorph of the same formula, meV/atom: 415
M_tot, μB per atom: 0.00
E_form (uncorrected), kcal/mol of atoms: 15.55

Cell: 5.612 5.612 5.612 Å, 90.00 90.00 90.00°
Space group F-43m (No. 216)
Inequivalent atoms, fractional coordinates:
1 Be 0.000 0.000 0.000 [4 per cell]
2 Ir 0.250 0.250 0.250 [4 per cell]
3 Cl 0.000 0.000 0.500 [4 per cell]

=====

A geometry-optimized BeIrCl structure. Source: Alexandria via LeMat-Bulk, functional PBEsol.

Values from the calculation:
Distance to the lowest polymorph of the same formula, meV/atom: 1018
M_tot, μB per atom: 0.00
E_form (uncorrected), kcal/mol of atoms: 29.45

Cell: 5.592 5.592 5.592 Å, 90.00 90.00 90.00°
Space group F-43m (No. 216)
Inequivalent atoms, fractional coordinates:
1 Be 0.000 0.000 0.000 [4 per cell]
2 Ir 0.000 0.000 0.500 [4 per cell]
3 Cl 0.250 0.250 0.750 [4 per cell]

=====

A geometry-optimized BeIr3Cl structure. Source: Alexandria via LeMat-Bulk, functional PBEsol.

Values from the calculation:
M_tot, μB per atom: 0.00
E_form (uncorrected), kcal/mol of atoms: 28.22

Cell: 4.173 4.173 4.173 Å, 90.00 90.00 90.00°
Space group Pm-3m (No. 221)
Inequivalent atoms, fractional coordinates:
1 Be 0.000 0.000 0.000 [1 per cell]
2 Ir 0.000 0.000 0.500 [3 per cell]
3 Cl 0.500 0.500 0.500 [1 per cell]

=====

A geometry-optimized BeIrCl structure. Source: Alexandria via LeMat-Bulk, functional PBEsol.

Values from the calculation:
Distance to the lowest polymorph of the same formula, meV/atom: 0
M_tot, μB per atom: 0.00
E_form (uncorrected), kcal/mol of atoms: 5.98

Cell: 2.828 2.828 10.749 Å, 90.00 90.00 90.00°
Space group I4mm (No. 107)
Inequivalent atoms, fractional coordinates:
1 Be 0.000 0.000 0.000 [2 per cell]
2 Ir 0.000 0.000 0.392 [2 per cell]
3 Cl 0.000 0.000 0.715 [2 per cell]

=====

A geometry-optimized BeIrCl2 structure. Source: Alexandria via LeMat-Bulk, functional PBEsol.

Values from the calculation:
Distance to the lowest polymorph of the same formula, meV/atom: 724
M_tot, μB per atom: 0.35
E_form (uncorrected), kcal/mol of atoms: 13.01

Cell: 2.9860 2.9860 31.2365 Å, 90.00 90.00 120.00°
Space group R-3m (No. 166, hexagonal axes)
Inequivalent atoms, fractional coordinates:
1 Be 0.0000 0.0000 0.0000 [3 per cell]
2 Ir 0.0000 0.0000 0.5000 [3 per cell]
3 Cl 0.0000 0.0000 0.0569 [6 per cell]

=====

A geometry-optimized BeIr2Cl structure. Source: Alexandria via LeMat-Bulk, functional PBEsol.

Values from the calculation:
Distance to the lowest polymorph of the same formula, meV/atom: 163
M_tot, μB per atom: 0.00
E_form (uncorrected), kcal/mol of atoms: 10.87

Cell: 2.725 4.106 4.829 Å, 90.00 90.00 90.00°
Space group Pmmm (No. 47)
Inequivalent atoms, fractional coordinates:
1 Be 0.000 0.000 0.000 [1 per cell]
2 Ir 0.000 0.500 0.500 [1 per cell]
3 Ir 0.500 0.500 0.000 [1 per cell]
4 Cl 0.500 0.000 0.500 [1 per cell]

=====

A geometry-optimized BeIrCl2 structure. Source: Alexandria via LeMat-Bulk, functional PBEsol.

Values from the calculation:
Distance to the lowest polymorph of the same formula, meV/atom: 0
M_tot, μB per atom: 0.00
E_form (uncorrected), kcal/mol of atoms: -3.69

Cell: 6.919 2.953 7.168 Å, 90.00 93.92 90.00°
Space group Cm (No. 8)
Inequivalent atoms, fractional coordinates:
1 Be 0.000 0.000 0.000 [2 per cell]
2 Ir 0.229 0.500 0.136 [2 per cell]
3 Cl 0.097 0.500 0.822 [2 per cell]
4 Cl 0.317 0.000 0.398 [2 per cell]

=====

A geometry-optimized ZrBeIrCl2 structure. Source: Alexandria via LeMat-Bulk, functional PBEsol.

Values from the calculation:
M_tot, μB per atom: 0.00
E_form (uncorrected), kcal/mol of atoms: 9.37

Cell: 4.814 4.814 5.038 Å, 90.00 90.00 90.00°
Space group P4/mmm (No. 123)
Inequivalent atoms, fractional coordinates:
1 Zr 0.000 0.000 0.000 [1 per cell]
2 Be 0.500 0.500 0.500 [1 per cell]
3 Ir 0.000 0.000 0.500 [1 per cell]
4 Cl 0.000 0.500 0.000 [2 per cell]